Entry from the Alexandria database: a geometry-optimized TcW2Cl structure (PBE).

Cell and atoms, written as POSCAR:
```
TcW2Cl
1.0
-8.162 1.013 3.311
-8.555 -1.425 1.843
-7.484 -1.509 4.508
Cl Tc W
1 1 2
direct
0.250 0.250 0.250 Cl
0.750 0.750 0.750 Tc
0.000 0.000 0.000 W
0.500 0.500 0.500 W
```

ΔE to the lowest computed polymorph, eV per atom: 0.035
Crystal system: trigonal
D(E_F), states/eV/atom: 0.6814
E_form (uncorrected), eV/atom: 0.399